1.
# NaPr2IrO6

Crystalline NaPr2IrO6 at its relaxed geometry (GGA-PBEsol, Alexandria via LeMat-Bulk).

Properties
* VASP energy: -150.679 eV/cell
* magnetic moment: 2.03 μB/f.u.
* N(E_F): 10.073 states/eV per cell
* formation energy (no corrections): -2.225 eV per atom
* SG: P2_1/c (14)

a = 5.4892 Å, b = 5.9596 Å, c = 9.5734 Å
α = 90.00°, β = 124.18°, γ = 90.00°
Last column: nearest neighbours and their distance in Å.
Atoms (fractional coordinates):
Na1 0.0000 0.0000 0.0000  6 O 2.22-2.30
Na2 0.0000 0.5000 0.5000  6 O 2.22-2.30
Pr1 0.2249 0.0753 0.7477  5 O 2.35-2.58
Pr2 0.2249 0.4247 0.2477  5 O 2.35-2.58
Pr3 0.7751 0.5753 0.7523  5 O 2.35-2.58
Pr4 0.7751 0.9247 0.2523  5 O 2.35-2.58
Ir1 0.5000 0.0000 0.5000  6 O 1.97-1.98
Ir2 0.5000 0.5000 0.0000  6 O 1.97-1.98
O1 0.1532 0.1758 0.4493  1 Ir 1.98
O2 0.1532 0.3242 0.9493  1 Ir 1.98
O3 0.2710 0.7175 0.4356  1 Ir 1.98
O4 0.2710 0.7825 0.9356  1 Ir 1.98
O5 0.3816 0.0439 0.2661  1 Ir 1.97
O6 0.3816 0.4561 0.7661  1 Ir 1.97
O7 0.6184 0.5439 0.2339  1 Ir 1.97
O8 0.6184 0.9561 0.7339  1 Ir 1.97
O9 0.7290 0.2175 0.0644  1 Ir 1.98
O10 0.7290 0.2825 0.5644  1 Ir 1.98
O11 0.8468 0.6758 0.0507  1 Ir 1.98
O12 0.8468 0.8242 0.5507  1 Ir 1.98

2.
# NaSm2IrO6

Crystalline NaSm2IrO6 at its relaxed geometry (GGA-PBEsol, Alexandria via LeMat-Bulk).

Properties
* VASP energy: -151.095 eV/cell
* magnetic moment: 2.03 μB/f.u.
* N(E_F): 10.042 states/eV per cell
* formation energy (no corrections): -2.264 eV per atom
* SG: P2_1/c (14)

a = 5.4132 Å, b = 5.8927 Å, c = 9.4183 Å
α = 90.00°, β = 123.84°, γ = 90.00°
Last column: nearest neighbours and their distance in Å.
Atoms (fractional coordinates):
Na1 0.0000 0.0000 0.0000  6 O 2.24-2.29
Na2 0.0000 0.5000 0.5000  6 O 2.24-2.29
Sm1 0.2208 0.0780 0.7461  5 O 2.28-2.52
Sm2 0.2208 0.4220 0.2461  5 O 2.28-2.52
Sm3 0.7792 0.5780 0.7539  5 O 2.28-2.52
Sm4 0.7792 0.9220 0.2539  5 O 2.28-2.52
Ir1 0.5000 0.0000 0.5000  6 O 1.97-1.98
Ir2 0.5000 0.5000 0.0000  6 O 1.97-1.98
O1 0.1452 0.1739 0.4456  1 Ir 1.98
O2 0.1452 0.3261 0.9456  1 Ir 1.98
O3 0.2674 0.7152 0.4278  1 Ir 1.98
O4 0.2674 0.7848 0.9278  1 Ir 1.98
O5 0.3962 0.0543 0.2665  1 Ir 1.97
O6 0.3962 0.4457 0.7665  1 Ir 1.97
O7 0.6038 0.5543 0.2335  1 Ir 1.97
O8 0.6038 0.9457 0.7335  1 Ir 1.97
O9 0.7326 0.2152 0.0722  1 Ir 1.98
O10 0.7326 0.2848 0.5722  1 Ir 1.98
O11 0.8548 0.6739 0.0544  1 Ir 1.98
O12 0.8548 0.8261 0.5544  1 Ir 1.98

3.
# NaYIrO4

Crystalline NaYIrO4 at its relaxed geometry (GGA-PBEsol, Alexandria via LeMat-Bulk).

Properties
* VASP energy: -158.245 eV/cell
* magnetic moment: 0.22 μB/f.u.
* N(E_F): 11.074 states/eV per cell
* formation energy (no corrections): -1.958 eV per atom
* SG: Amm2 (38)

a = 3.2203 Å, b = 9.2298 Å, c = 9.2298 Å
α = 118.40°, β = 90.00°, γ = 90.00°
Last column: nearest neighbours and their distance in Å.
Atoms (fractional coordinates):
Na1 0.0000 0.0000 0.0000  6 O 2.36-2.44
Na2 0.5000 0.2807 0.9797  6 O 2.27-2.44
Na3 0.5000 0.9797 0.2807  6 O 2.27-2.44
Y1 0.5000 0.2930 0.6390  6 O 2.26-2.50
Y2 0.5000 0.6390 0.2930  6 O 2.26-2.50
Y3 0.5000 0.6814 0.6814  7 O 2.27-2.33
Ir1 0.0000 0.3128 0.3128  6 O 2.00-2.03
Ir2 0.0000 0.6527 0.9737  6 O 2.00-2.07
Ir3 0.0000 0.9737 0.6527  6 O 2.00-2.07
O1 0.0000 0.1924 0.4443  1 Ir 2.00
O2 0.0000 0.2194 0.7645  1 Ir 2.00
O3 0.0000 0.4443 0.1924  1 Ir 2.00
O4 0.0000 0.5253 0.7191  1 Ir 2.07, 2 Y 2.30
O5 0.0000 0.7191 0.5253  1 Ir 2.07, 2 Y 2.30
O6 0.0000 0.7645 0.2194  1 Ir 2.00
O7 0.5000 0.1827 0.1827  2 Ir 2.03
O8 0.5000 0.4408 0.4408  2 Ir 2.01
O9 0.5000 0.5244 0.9758  2 Ir 2.00
O10 0.5000 0.7874 0.9668  2 Ir 2.05
O11 0.5000 0.9668 0.7874  2 Ir 2.05
O12 0.5000 0.9758 0.5244  2 Ir 2.00

4.
# Na4Y2Ir3O12

Crystalline Na4Y2Ir3O12 at its relaxed geometry (GGA-PBEsol, Alexandria via LeMat-Bulk).

Properties
* VASP energy: -148.106 eV/cell
* magnetic moment: 0.00 μB/f.u.
* N(E_F): 9.268 states/eV per cell
* formation energy (no corrections): -1.733 eV per atom
* SG: P-62m (189)

a = 9.3315 Å, b = 9.3315 Å, c = 3.1705 Å
α = 90.00°, β = 90.00°, γ = 120.00°
Last column: nearest neighbours and their distance in Å.
Atoms (fractional coordinates):
Na1 0.0000 0.0000 0.0000  6 O 2.44
Na2 0.0000 0.3000 0.5000  7 O 2.25-2.47
Na3 0.3000 0.0000 0.5000  7 O 2.25-2.47
Na4 0.7000 0.7000 0.5000  7 O 2.25-2.47
Y1 0.3333 0.6667 0.5000  6 O 2.30
Y2 0.6667 0.3333 0.5000  6 O 2.30
Ir1 0.0000 0.6682 0.0000  6 O 1.98-2.02
Ir2 0.3318 0.3318 0.0000  6 O 1.98-2.02
Ir3 0.6682 0.0000 0.0000  6 O 1.98-2.02
O1 0.0000 0.5408 0.5000  2 Ir 1.98
O2 0.0000 0.8017 0.5000  2 Ir 2.02
O3 0.1983 0.1983 0.5000  2 Ir 2.02
O4 0.2167 0.4611 0.0000  1 Ir 1.98
O5 0.2444 0.7833 0.0000  1 Ir 1.98
O6 0.4592 0.4592 0.5000  2 Ir 1.98
O7 0.4611 0.2167 0.0000  1 Ir 1.98
O8 0.5389 0.7556 0.0000  1 Ir 1.98
O9 0.5408 0.0000 0.5000  2 Ir 1.98
O10 0.7556 0.5389 0.0000  1 Ir 1.98
O11 0.7833 0.2444 0.0000  1 Ir 1.98
O12 0.8017 0.0000 0.5000  2 Ir 2.02